This record from Alexandria via LeMat-Bulk describes a relaxed GdHfCu crystal. The functional is PBE.

Lattice parameters (Å, degrees): 3.331 3.331 11.752 90.00 90.00 90.00
Positions (direct):
Gd1 0.000 0.000 0.000
Gd2 0.500 0.500 0.500
Hf1 0.000 0.000 0.300
Hf2 0.500 0.500 0.800
Cu1 0.000 0.000 0.680
Cu2 0.500 0.500 0.180

Output
Raw total energy: -9.418 eV/atom
Formation energy: -0.0416 eV per atom
Size of the total moment: 7.45 μB per formula unit